Record 1
# UHg3I6 (PBE, optimized geometry)
# calculated volume = 896 Å³/cell
# uncorrected energy = -2.6493 eV per atom
# formation energy from raw total energies = -0.50 eV per atom
# energy above the most stable polymorph in this dataset = 0 meV/atom
# ρ = 5.93 g/cm³
data_UHg3I6
_symmetry_space_group_name_H-M 'P 1 21/c 1'
_symmetry_Int_Tables_number 14
_symmetry_space_group_name_Hall '-P 2ybc'
_cell_length_a 8.126
_cell_length_b 8.312
_cell_length_c 14.583
_cell_angle_alpha 90.00
_cell_angle_beta 114.50
_cell_angle_gamma 90.00
loop_
_atom_site_label
_atom_site_type_symbol
_atom_site_fract_x
_atom_site_fract_y
_atom_site_fract_z
U1 U 0.000 0.000 0.000
Hg1 Hg 0.218 0.035 0.320
Hg2 Hg 0.500 0.000 0.500
I1 I 0.144 0.006 0.833
I2 I 0.191 0.693 0.077
I3 I 0.331 0.179 0.139



Record 2
# UHg2I5 (PBE, optimized geometry)
# calculated volume = 797 Å³/cell
# uncorrected energy = -2.9508 eV per atom
# formation energy from raw total energies = -0.50 eV per atom
# ρ = 5.30 g/cm³
data_UHg2I5
_symmetry_space_group_name_H-M 'P 1 21/m 1'
_symmetry_Int_Tables_number 11
_symmetry_space_group_name_Hall '-P 2yb'
_cell_length_a 6.141
_cell_length_b 13.668
_cell_length_c 9.953
_cell_angle_alpha 90.00
_cell_angle_beta 107.35
_cell_angle_gamma 90.00
loop_
_atom_site_label
_atom_site_type_symbol
_atom_site_fract_x
_atom_site_fract_y
_atom_site_fract_z
U1 U 0.194 0.250 0.384
Hg1 Hg 0.112 0.642 0.215
I1 I 0.085 0.100 0.159
I2 I 0.299 0.096 0.602
I3 I 0.306 0.750 0.616



Record 3
# UHg8I6 (PBE, optimized geometry)
# calculated volume = 1836 Å³/cell
# uncorrected energy = -1.8552 eV per atom
# formation energy from raw total energies = -0.32 eV per atom
# ρ = 7.07 g/cm³
data_UHg8I6
_symmetry_space_group_name_H-M 'R -3'
_symmetry_Int_Tables_number 148
_symmetry_space_group_name_Hall '-R 3'
_cell_length_a 8.2941
_cell_length_b 8.2941
_cell_length_c 30.8178
_cell_angle_alpha 90.00
_cell_angle_beta 90.00
_cell_angle_gamma 120.00
loop_
_atom_site_label
_atom_site_type_symbol
_atom_site_fract_x
_atom_site_fract_y
_atom_site_fract_z
U1 U 0.0000 0.0000 0.0000
Hg1 Hg 0.0000 0.0000 0.4264
Hg2 Hg 0.9998 0.3312 0.8540
I1 I 0.0068 0.5814 0.6117



Record 4
# U2HgI6 (PBE, optimized geometry)
# calculated volume = 517 Å³/cell
# uncorrected energy = -4.2835 eV per atom
# formation energy from raw total energies = -0.71 eV per atom
# ρ = 4.62 g/cm³
data_U2HgI6
_symmetry_space_group_name_H-M 'P -3 1 m'
_symmetry_Int_Tables_number 162
_symmetry_space_group_name_Hall '-P 3 2'
_cell_length_a 7.9239
_cell_length_b 7.9239
_cell_length_c 9.5110
_cell_angle_alpha 90.00
_cell_angle_beta 90.00
_cell_angle_gamma 120.00
loop_
_atom_site_label
_atom_site_type_symbol
_atom_site_fract_x
_atom_site_fract_y
_atom_site_fract_z
U1 U 0.3333 0.6667 0.0000
Hg1 Hg 0.0000 0.0000 0.5000
I1 I 0.0000 0.3630 0.1930



Record 5
# UHg2I4 (PBE, optimized geometry)
# calculated volume = 757 Å³/cell
# uncorrected energy = -3.0584 eV per atom
# formation energy from raw total energies = -0.47 eV per atom
# energy above the most stable polymorph in this dataset = 0 meV/atom
# ρ = 5.03 g/cm³
data_UHg2I4
_symmetry_space_group_name_H-M 'I 4/m m m'
_symmetry_Int_Tables_number 139
_symmetry_space_group_name_Hall '-I 4 2'
_cell_length_a 6.113
_cell_length_b 6.113
_cell_length_c 20.271
_cell_angle_alpha 90.00
_cell_angle_beta 90.00
_cell_angle_gamma 90.00
loop_
_atom_site_label
_atom_site_type_symbol
_atom_site_fract_x
_atom_site_fract_y
_atom_site_fract_z
U1 U 0.000 0.000 0.000
Hg1 Hg 0.000 0.000 0.338
I1 I 0.000 0.000 0.143
I2 I 0.000 0.500 0.000



Record 6
# UHg3I6 (PBE, optimized geometry)
# calculated volume = 483 Å³/cell
# uncorrected energy = -2.5670 eV per atom
# formation energy from raw total energies = -0.42 eV per atom
# energy above the most stable polymorph in this dataset = 82 meV/atom
# ρ = 5.51 g/cm³
data_UHg3I6
_symmetry_space_group_name_H-M 'P -3 1 m'
_symmetry_Int_Tables_number 162
_symmetry_space_group_name_Hall '-P 3 2'
_cell_length_a 7.4487
_cell_length_b 7.4487
_cell_length_c 10.0435
_cell_angle_alpha 90.00
_cell_angle_beta 90.00
_cell_angle_gamma 120.00
loop_
_atom_site_label
_atom_site_type_symbol
_atom_site_fract_x
_atom_site_fract_y
_atom_site_fract_z
U1 U 0.0000 0.0000 0.0000
Hg1 Hg 0.0000 0.0000 0.5000
Hg2 Hg 0.3333 0.6667 0.5000
I1 I 0.0000 0.3130 0.8333



Record 7
# UHgI6 (PBE, optimized geometry)
# calculated volume = 772 Å³/cell
# uncorrected energy = -3.1772 eV per atom
# formation energy from raw total energies = -0.57 eV per atom
# ρ = 5.16 g/cm³
data_UHgI6
_symmetry_space_group_name_H-M 'C 1 2/m 1'
_symmetry_Int_Tables_number 12
_symmetry_space_group_name_Hall '-C 2y'
_cell_length_a 7.745
_cell_length_b 13.740
_cell_length_c 7.742
_cell_angle_alpha 90.00
_cell_angle_beta 110.36
_cell_angle_gamma 90.00
loop_
_atom_site_label
_atom_site_type_symbol
_atom_site_fract_x
_atom_site_fract_y
_atom_site_fract_z
U1 U 0.000 0.000 0.000
Hg1 Hg 0.000 0.500 0.500
I1 I 0.230 0.000 0.771
I2 I 0.242 0.152 0.242



Record 8
# UHgI5 (PBE, optimized geometry)
# calculated volume = 1564 Å³/cell
# uncorrected energy = -3.3573 eV per atom
# formation energy from raw total energies = -0.59 eV per atom
# ρ = 4.56 g/cm³
data_UHgI5
_symmetry_space_group_name_H-M 'C 1 2/c 1'
_symmetry_Int_Tables_number 15
_symmetry_space_group_name_Hall '-C 2yc'
_cell_length_a 14.053
_cell_length_b 10.664
_cell_length_c 11.277
_cell_angle_alpha 90.00
_cell_angle_beta 112.26
_cell_angle_gamma 90.00
loop_
_atom_site_label
_atom_site_type_symbol
_atom_site_fract_x
_atom_site_fract_y
_atom_site_fract_z
U1 U 0.000 0.000 0.000
Hg1 Hg 0.000 0.478 0.250
I1 I 0.000 0.115 0.250
I2 I 0.093 0.231 0.965
I3 I 0.201 0.106 0.634



Record 9
# UHg2I6 (PBE, optimized geometry)
# calculated volume = 862 Å³/cell
# uncorrected energy = -2.8349 eV per atom
# formation energy from raw total energies = -0.48 eV per atom
# ρ = 5.40 g/cm³
data_UHg2I6
_symmetry_space_group_name_H-M 'P 1 21/c 1'
_symmetry_Int_Tables_number 14
_symmetry_space_group_name_Hall '-P 2ybc'
_cell_length_a 8.138
_cell_length_b 8.246
_cell_length_c 14.901
_cell_angle_alpha 90.00
_cell_angle_beta 120.47
_cell_angle_gamma 90.00
loop_
_atom_site_label
_atom_site_type_symbol
_atom_site_fract_x
_atom_site_fract_y
_atom_site_fract_z
U1 U 0.000 0.000 0.000
Hg1 Hg 0.331 0.110 0.812
I1 I 0.022 0.096 0.199
I2 I 0.245 0.717 0.104
I3 I 0.343 0.193 0.056



Record 10
# UHgI2 (PBE, optimized geometry)
# calculated volume = 502 Å³/cell
# uncorrected energy = -3.5464 eV per atom
# formation energy from raw total energies = 0.13 eV per atom
# ρ = 6.87 g/cm³
data_UHgI2
_symmetry_space_group_name_H-M 'R -3 m'
_symmetry_Int_Tables_number 166
_symmetry_space_group_name_Hall '-R 3 2"'
_cell_length_a 3.9096
_cell_length_b 3.9096
_cell_length_c 37.9228
_cell_angle_alpha 90.00
_cell_angle_beta 90.00
_cell_angle_gamma 120.00
loop_
_atom_site_label
_atom_site_type_symbol
_atom_site_fract_x
_atom_site_fract_y
_atom_site_fract_z
U1 U 0.0000 0.0000 0.0000
Hg1 Hg 0.0000 0.0000 0.5000
I1 I 0.0000 0.0000 0.0755



Record 11
# UHg2I4 (PBE, optimized geometry)
# calculated volume = 3529 Å³/cell
# uncorrected energy = -2.9736 eV per atom
# formation energy from raw total energies = -0.39 eV per atom
# energy above the most stable polymorph in this dataset = 85 meV/atom
# ρ = 4.32 g/cm³
data_UHg2I4
_symmetry_space_group_name_H-M 'C 1 2/c 1'
_symmetry_Int_Tables_number 15
_symmetry_space_group_name_Hall '-C 2yc'
_cell_length_a 18.843
_cell_length_b 10.728
_cell_length_c 18.542
_cell_angle_alpha 90.00
_cell_angle_beta 109.68
_cell_angle_gamma 90.00
loop_
_atom_site_label
_atom_site_type_symbol
_atom_site_fract_x
_atom_site_fract_y
_atom_site_fract_z
U1 U 0.188 0.244 0.313
Hg1 Hg 0.000 0.000 0.000
Hg2 Hg 0.000 0.264 0.750
Hg3 Hg 0.000 0.500 0.000
Hg4 Hg 0.250 0.250 0.000
I1 I 0.131 0.025 0.364
I2 I 0.134 0.249 0.149
I3 I 0.137 0.461 0.372
I4 I 0.150 0.253 0.633



Record 12
# U3Hg2I10 (PBE, optimized geometry)
# calculated volume = 2967 Å³/cell
# uncorrected energy = -3.9627 eV per atom
# formation energy from raw total energies = -0.63 eV per atom
# ρ = 5.34 g/cm³
data_U3Hg2I10
_symmetry_space_group_name_H-M 'C 1 2/m 1'
_symmetry_Int_Tables_number 12
_symmetry_space_group_name_Hall '-C 2y'
_cell_length_a 29.108
_cell_length_b 9.060
_cell_length_c 12.076
_cell_angle_alpha 90.00
_cell_angle_beta 111.32
_cell_angle_gamma 90.00
loop_
_atom_site_label
_atom_site_type_symbol
_atom_site_fract_x
_atom_site_fract_y
_atom_site_fract_z
U1 U 0.000 0.248 0.000
U2 U 0.078 0.500 0.489
U3 U 0.185 0.500 0.036
Hg1 Hg 0.122 0.000 0.741
Hg2 Hg 0.233 0.000 0.323
I1 I 0.000 0.271 0.500
I2 I 0.013 0.000 0.186
I3 I 0.013 0.500 0.193
I4 I 0.113 0.250 0.055
I5 I 0.129 0.500 0.759
I6 I 0.134 0.256 0.445
I7 I 0.236 0.500 0.292
I8 I 0.250 0.250 0.000



Record 13
# UVHgI6 (PBE, optimized geometry)
# calculated volume = 462 Å³/cell
# uncorrected energy = -3.9373 eV per atom
# formation energy from raw total energies = -0.60 eV per atom
# ρ = 4.50 g/cm³
data_UVHgI6
_symmetry_space_group_name_H-M 'P 3 1 2'
_symmetry_Int_Tables_number 149
_symmetry_space_group_name_Hall 'P 3 2'
_cell_length_a 7.3362
_cell_length_b 7.3362
_cell_length_c 9.9029
_cell_angle_alpha 90.00
_cell_angle_beta 90.00
_cell_angle_gamma 120.00
loop_
_atom_site_label
_atom_site_type_symbol
_atom_site_fract_x
_atom_site_fract_y
_atom_site_fract_z
U1 U 0.0000 0.0000 0.0000
V1 V 0.3333 0.6667 0.0000
Hg1 Hg 0.6667 0.3333 0.5000
I1 I 0.0258 0.3552 0.1718



Record 14
# UZnHgI6 (PBE, optimized geometry)
# calculated volume = 466 Å³/cell
# uncorrected energy = -3.0368 eV per atom
# formation energy from raw total energies = -0.57 eV per atom
# ρ = 4.51 g/cm³
data_UZnHgI6
_symmetry_space_group_name_H-M 'P 3 1 2'
_symmetry_Int_Tables_number 149
_symmetry_space_group_name_Hall 'P 3 2'
_cell_length_a 7.4760
_cell_length_b 7.4760
_cell_length_c 9.6233
_cell_angle_alpha 90.00
_cell_angle_beta 90.00
_cell_angle_gamma 120.00
loop_
_atom_site_label
_atom_site_type_symbol
_atom_site_fract_x
_atom_site_fract_y
_atom_site_fract_z
U1 U 0.0000 0.0000 0.0000
Zn1 Zn 0.3333 0.6667 0.0000
Hg1 Hg 0.6667 0.3333 0.5000
I1 I 0.0277 0.3462 0.1777



Record 15
# VHgI2 (PBE, optimized geometry)
# calculated volume = 644 Å³/cell
# uncorrected energy = -3.2153 eV per atom
# formation energy from raw total energies = -0.09 eV per atom
# energy above the most stable polymorph in this dataset = 229 meV/atom
# ρ = 5.21 g/cm³
data_VHgI2
_symmetry_space_group_name_H-M 'I -4 2 d'
_symmetry_Int_Tables_number 122
_symmetry_space_group_name_Hall 'I -4 2bw'
_cell_length_a 8.607
_cell_length_b 8.607
_cell_length_c 8.694
_cell_angle_alpha 90.00
_cell_angle_beta 90.00
_cell_angle_gamma 90.00
loop_
_atom_site_label
_atom_site_type_symbol
_atom_site_fract_x
_atom_site_fract_y
_atom_site_fract_z
V1 V 0.000 0.000 0.000
Hg1 Hg 0.000 0.000 0.500
I1 I 0.142 0.250 0.125



Record 16
# V3HgI (PBE, optimized geometry)
# calculated volume = 116 Å³/cell
# uncorrected energy = -4.3761 eV per atom
# formation energy from raw total energies = 1.47 eV per atom
# energy above the most stable polymorph in this dataset = 0 meV/atom
# ρ = 6.85 g/cm³
data_V3HgI
_symmetry_space_group_name_H-M 'P m -3 m'
_symmetry_Int_Tables_number 221
_symmetry_space_group_name_Hall '-P 4 2 3'
_cell_length_a 4.883
_cell_length_b 4.883
_cell_length_c 4.883
_cell_angle_alpha 90.00
_cell_angle_beta 90.00
_cell_angle_gamma 90.00
loop_
_atom_site_label
_atom_site_type_symbol
_atom_site_fract_x
_atom_site_fract_y
_atom_site_fract_z
V1 V 0.000 0.000 0.500
Hg1 Hg 0.500 0.500 0.500
I1 I 0.000 0.000 0.000



Record 17
# VHg3I (PBE, optimized geometry)
# calculated volume = 166 Å³/cell
# uncorrected energy = -1.9605 eV per atom
# formation energy from raw total energies = 0.35 eV per atom
# energy above the most stable polymorph in this dataset = 0 meV/atom
# ρ = 7.78 g/cm³
data_VHg3I
_symmetry_space_group_name_H-M 'P m -3 m'
_symmetry_Int_Tables_number 221
_symmetry_space_group_name_Hall '-P 4 2 3'
_cell_length_a 5.500
_cell_length_b 5.500
_cell_length_c 5.500
_cell_angle_alpha 90.00
_cell_angle_beta 90.00
_cell_angle_gamma 90.00
loop_
_atom_site_label
_atom_site_type_symbol
_atom_site_fract_x
_atom_site_fract_y
_atom_site_fract_z
V1 V 0.000 0.000 0.000
Hg1 Hg 0.000 0.000 0.500
I1 I 0.500 0.500 0.500



Record 18
# VHg2I8 (PBE, optimized geometry)
# calculated volume = 951 Å³/cell
# uncorrected energy = -2.2705 eV per atom
# formation energy from raw total energies = -0.26 eV per atom
# ρ = 5.12 g/cm³
data_VHg2I8
_symmetry_space_group_name_H-M 'C 1 2/m 1'
_symmetry_Int_Tables_number 12
_symmetry_space_group_name_Hall '-C 2y'
_cell_length_a 15.809
_cell_length_b 8.562
_cell_length_c 7.035
_cell_angle_alpha 90.00
_cell_angle_beta 92.70
_cell_angle_gamma 90.00
loop_
_atom_site_label
_atom_site_type_symbol
_atom_site_fract_x
_atom_site_fract_y
_atom_site_fract_z
V1 V 0.000 0.000 0.000
Hg1 Hg 0.171 0.000 0.599
I1 I 0.057 0.228 0.765
I2 I 0.157 0.000 0.187
I3 I 0.161 0.500 0.294



Record 19
# VHgI4 (PBE, optimized geometry)
# calculated volume = 977 Å³/cell
# uncorrected energy = -2.9413 eV per atom
# formation energy from raw total energies = -0.34 eV per atom
# ρ = 5.16 g/cm³
data_VHgI4
_symmetry_space_group_name_H-M 'C 1 2/c 1'
_symmetry_Int_Tables_number 15
_symmetry_space_group_name_Hall '-C 2yc'
_cell_length_a 8.849
_cell_length_b 18.653
_cell_length_c 7.250
_cell_angle_alpha 90.00
_cell_angle_beta 125.28
_cell_angle_gamma 90.00
loop_
_atom_site_label
_atom_site_type_symbol
_atom_site_fract_x
_atom_site_fract_y
_atom_site_fract_z
V1 V 0.000 0.055 0.250
Hg1 Hg 0.000 0.379 0.750
I1 I 0.201 0.170 0.255
I2 I 0.225 0.043 0.724



Record 20
# V4HgI8 (PBE, optimized geometry)
# calculated volume = 1179 Å³/cell
# uncorrected energy = -4.1865 eV per atom
# formation energy from raw total energies = -0.40 eV per atom
# ρ = 4.00 g/cm³
data_V4HgI8
_symmetry_space_group_name_H-M 'C 1 2/m 1'
_symmetry_Int_Tables_number 12
_symmetry_space_group_name_Hall '-C 2y'
_cell_length_a 14.249
_cell_length_b 8.227
_cell_length_c 12.315
_cell_angle_alpha 90.00
_cell_angle_beta 125.27
_cell_angle_gamma 90.00
loop_
_atom_site_label
_atom_site_type_symbol
_atom_site_fract_x
_atom_site_fract_y
_atom_site_fract_z
V1 V 0.000 0.250 0.000
V2 V 0.250 0.000 0.000
Hg1 Hg 0.000 0.000 0.500
I1 I 0.006 0.000 0.845
I2 I 0.006 0.500 0.844
I3 I 0.244 0.250 0.156